Material: ZnICl
Method: DFT, PBE
State: relaxed

Properties
As for the space-group type: P2/m, No. 10. The calculation puts the formation energy (no corrections) at -83 kJ per mole of atoms. The electronic total energy comes out at -2.42 eV per atom. For the energy above the lowest structure with this stoichiometry, the calculation gives 0.000 eV/atom.

Cell: 4.1456 7.5213 7.5310 Å, 82.51 90.01 89.98°
Last column: nearest neighbours and their distance in Å.
Fractional positions:
Zn  0.5001  0.3608  0.3597  2 Cl 2.33
Zn  0.4999  0.6392  0.6403  2 Cl 2.33
I  0.0002  0.2188  0.2172  2 Zn 2.62
I  0.9998  0.7812  0.7828  2 Zn 2.62
Cl  0.5003  0.3267  0.6720  2 Zn 2.33
Cl  0.4997  0.6733  0.3280  2 Zn 2.33

=====

Material: SrZr2As
Method: DFT, PBE
State: relaxed

Properties
The calculation puts the formation enthalpy at 0 K at -0.200 eV/atom. As for the space-group type: Cm, No. 8. The electronic total energy comes out at -6.06 eV per atom.

Cell: 5.1339 5.1339 6.9817 Å, 70.84 70.84 41.51°
Last column: nearest neighbours and their distance in Å.
Fractional positions:
Sr  0.1927  0.1927  0.2655  2 As 3.12, 1 Zr 3.44
As  0.5091  0.5091  0.6285  5 Zr 2.72-2.82
Zr  0.0143  0.0143  0.9155  2 As 2.72
Zr  0.7840  0.7840  0.6905  3 As 2.74-2.82

=====

Material: ThSc2Sn
Method: DFT, PBE
State: relaxed

Properties
The calculation puts the formation enthalpy at 0 K at -0.239 eV/atom. As for the space-group type: Fm-3m, No. 225. The electronic total energy comes out at -6.26 eV per atom. For the energy above the lowest structure with this stoichiometry, the calculation gives 0.121 eV/atom.

Cell: 5.1774 5.1774 5.1774 Å, 60.00 60.00 60.00°
Last column: nearest neighbours and their distance in Å.
Fractional positions:
Sc  0.2500  0.2500  0.2500  4 Sn 3.17, 4 Th 3.17
Sc  0.7500  0.7500  0.7500  4 Sn 3.17, 4 Th 3.17
Sn  0.0000  0.0000  0.0000  8 Sc 3.17
Th  0.5000  0.5000  0.5000  8 Sc 3.17

=====

Material: CsBaMg2Rh
Method: DFT, PBE
State: relaxed

Properties
The calculation puts the formation enthalpy at 0 K at -0.041 eV/atom. As for the space-group type: P4/mmm, No. 123. The electronic total energy comes out at -2.70 eV per atom.

Cell: 5.4012 5.4012 5.8851 Å, 90.00 90.00 90.00°
Last column: nearest neighbours and their distance in Å.
Fractional positions:
Cs  0.5000  0.5000  0.5000  4 Ba 3.82, 8 Mg 3.99
Mg  0.0000  0.5000  0.0000  2 Rh 2.70
Mg  0.5000  0.0000  0.0000  2 Rh 2.70
Rh  0.0000  0.0000  0.0000  4 Mg 2.70, 2 Ba 2.94
Ba  0.0000  0.0000  0.5000  2 Rh 2.94

=====

Material: PrPd9Pt3
Method: DFT, PBE
State: relaxed

Properties
The calculation puts the formation enthalpy at 0 K at -0.275 eV/atom. As for the space-group type: C2/m, No. 12. The electronic total energy comes out at -5.63 eV per atom.

Cell: 5.3134 7.0002 6.9957 Å, 81.62 67.68 67.44°
Last column: nearest neighbours and their distance in Å.
Fractional positions:
Pr  0.0000  0.0000  0.0000  14 Pd 3.19-3.50, 6 Pt 3.49-3.50
Pd  0.7188  0.7805  0.7810  7 Pd 2.65-2.92, 3 Pt 2.66-2.67
Pd  0.2812  0.2195  0.2190  7 Pd 2.65-2.92, 3 Pt 2.66-2.67
Pd  0.5003  0.2195  0.7810  7 Pd 2.65-2.92, 3 Pt 2.66-2.67
Pd  0.4997  0.7805  0.2190  7 Pd 2.65-2.92, 3 Pt 2.66-2.67
Pd  0.6481  0.3484  0.3486  6 Pd 2.77-2.92, 3 Pt 2.78-2.80
Pd  0.3519  0.6516  0.6514  6 Pd 2.77-2.92, 3 Pt 2.78-2.80
Pd  0.0033  0.6516  0.3486  6 Pd 2.77-2.92, 3 Pt 2.78-2.80
Pd  0.9967  0.3484  0.6514  6 Pd 2.77-2.92, 3 Pt 2.78-2.80
Pd  0.0000  0.5000  0.0000  8 Pd 2.65-2.81, 2 Pt 2.66
Pt  0.5000  0.5000  0.0000  10 Pd 2.66-2.78
Pt  0.0000  0.0000  0.5000  2 Pt 2.66, 8 Pd 2.66-2.80
Pt  0.5000  0.0000  0.5000  2 Pt 2.66, 8 Pd 2.66-2.80

=====

Material: CdSbPtI2
Method: DFT, PBE
State: relaxed

Properties
As for the space-group type: P4/mmm, No. 123. The calculation puts the formation energy (no corrections) at 19 kJ per mole of atoms. The electronic total energy comes out at -2.63 eV per atom. For the energy above the lowest structure with this stoichiometry, the calculation gives 0.000 eV/atom.

Cell: 5.6874 5.6874 5.1528 Å, 90.00 90.00 90.00°
Last column: nearest neighbours and their distance in Å.
Fractional positions:
I  0.0000  0.5000  0.0000  2 Pt 2.84
I  0.5000  0.0000  0.0000  2 Pt 2.84
Sb  0.0000  0.0000  0.5000  2 Pt 2.58
Pt  0.0000  0.0000  0.0000  2 Sb 2.58, 4 I 2.84
Cd  0.5000  0.5000  0.5000  8 I 3.84, 4 Sb 4.02

=====

no.,DOS(E_F) (states/eV per cell)
1,0.000
2,4.005
3,5.675
4,4.060
5,16.866
6,3.193